# 1
# La3Dy4Ho5

La3Dy4Ho5 after structural relaxation (PBE-GGA, Alexandria).

Structure (extended XYZ):
```
12
Lattice="6.9144 -0.3500 1.8479 -5.2116 7.4568 -6.7494 4.0711 -3.8261 11.6598" Properties=species:S:1:pos:R:3 pbc="T T T"
La 4.5313 -0.2347 3.8427
La 2.0356 -1.9130 5.8299
La 1.2426 3.5154 2.9156
Dy 4.7134 3.3628 3.8610
Dy 5.6840 1.4768 6.7662
Dy 0.0899 1.8040 -0.0079
Dy 1.0605 -0.0820 2.8972
Ho 2.2170 1.6678 5.8523
Ho 5.4927 -2.0880 6.7538
Ho 2.5638 3.4746 -1.9825
Ho 3.2101 -0.1938 8.7407
Ho 3.5569 1.6129 0.9060
```

Values from the calculation:
- Relative energy among the computed polymorphs: 0 meV per atom
- Fermi-level density of states: 1.42 states/eV per atom
- Crystal system: triclinic
- M_tot: 0.000 μB/atom
- E_form: 0.03 eV per atom
- Calculated total energy: -4.6468 eV per atom

---

# 2
# NaCeAu2

NaCeAu2 after structural relaxation (PBE-GGA, Alexandria).

Structure (extended XYZ):
```
4
Lattice="-0.5979 -5.0161 0.7008 3.9508 -2.8536 1.5029 0.0937 -1.9453 4.7135" Properties=species:S:1:pos:R:3 pbc="T T T"
Na 0.0000 0.0000 0.0000
Au 2.5850 -7.3613 5.1879
Au 0.8617 -2.4538 1.7293
Ce 1.7233 -4.9075 3.4586
```

Values from the calculation:
- Relative energy among the computed polymorphs: 0 meV per atom
- Fermi-level density of states: 2.18 states/eV per atom
- Crystal system: cubic
- M_tot: 0.246 μB/atom
- E_form: -0.50 eV per atom
- Calculated total energy: -3.9486 eV per atom

---

# 3
# AcLuCdSn

AcLuCdSn after structural relaxation (PBE-GGA, Alexandria).

Structure (extended XYZ):
```
4
Lattice="5.5031 0.0000 0.0000 2.7515 4.7658 0.0000 2.7515 1.5886 4.4932" Properties=species:S:1:pos:R:3 pbc="T T T"
Ac 0.0000 0.0000 0.0000
Lu 5.5031 3.1772 2.2466
Sn 2.7515 1.5886 1.1233
Cd 8.2546 4.7658 3.3699
```

Values from the calculation:
- Fermi-level density of states: 0.87 states/eV per atom
- Crystal system: cubic
- M_tot: 0.000 μB/atom
- E_form: -0.39 eV per atom
- Calculated total energy: -3.7799 eV per atom

---

# 4
# YVB2

YVB2 after structural relaxation (PBE-GGA, Alexandria).

Structure (extended XYZ):
```
8
Lattice="-1.9400 -0.3270 -3.5898 2.6851 -2.8511 -1.1913 -3.8718 -6.7408 0.3723" Properties=species:S:1:pos:R:3 pbc="T T T"
Y 0.0000 0.0000 0.0000
Y -2.7196 -4.3284 -2.8041
B -1.3815 -2.1678 -1.4422
B 0.0044 -3.5861 -1.9575
B -1.9833 -6.9282 -1.7982
B -2.8932 -7.1555 -3.6198
V 0.3725 -1.5890 -2.3906
V -0.4071 -5.5904 -1.6048
```

Values from the calculation:
- Relative energy among the computed polymorphs: 388 meV per atom
- Fermi-level density of states: 0.85 states/eV per atom
- Crystal system: tetragonal
- M_tot: 0.000 μB/atom
- E_form: 0.34 eV per atom
- Calculated total energy: -6.8929 eV per atom

---

# 5
# LuInH

LuInH after structural relaxation (PBE-GGA, Alexandria).

Structure (extended XYZ):
```
3
Lattice="3.1272 0.0000 0.0000 0.0000 3.1272 0.0000 -1.5636 -1.5636 5.7309" Properties=species:S:1:pos:R:3 pbc="T T T"
H 0.0000 0.0000 3.0538
Lu 1.5636 1.5636 2.6247
In 0.0000 0.0000 0.0525
```

Values from the calculation:
- Relative energy among the computed polymorphs: 281 meV per atom
- Fermi-level density of states: 0.57 states/eV per atom
- Crystal system: tetragonal
- M_tot: 0.084 μB/atom
- Calculated total energy: -3.6976 eV per atom

---

# 6
# NbMo

NbMo after structural relaxation (PBE-GGA, Alexandria).

Structure (extended XYZ):
```
12
Lattice="-10.0555 -5.3673 9.2564 1.9275 -1.5423 1.1996 1.0094 3.8517 3.3300" Properties=species:S:1:pos:R:3 pbc="T T T"
Nb -6.8551 -2.5404 10.4126
Nb -5.4590 -3.8411 7.4483
Nb -0.2185 1.0020 4.3034
Nb -2.0401 -2.0162 4.3011
Nb 2.0280 0.3363 2.3981
Nb -3.7748 0.6025 7.8948
Mo -8.1370 -4.0062 8.4572
Mo -4.1755 -2.3694 9.4087
Mo -1.2524 -0.3314 2.1198
Mo -1.0046 -0.6769 6.4898
Mo 2.2191 2.4754 3.8461
Mo -3.9822 -1.5989 6.3930
```

Values from the calculation:
- Fermi-level density of states: 0.93 states/eV per atom
- Crystal system: orthorhombic
- M_tot: 0.000 μB/atom
- E_form: 0.23 eV per atom
- Calculated total energy: -10.2157 eV per atom

---

# 7
# Tb2Nd3Sm4

Tb2Nd3Sm4 after structural relaxation (PBE-GGA, Alexandria).

Structure (extended XYZ):
```
9
Lattice="3.6319 0.0000 0.0000 -1.8159 5.9543 0.9000 0.0000 4.4298 14.7510" Properties=species:S:1:pos:R:3 pbc="T T T"
Tb 0.0000 4.9519 3.8677
Tb 1.8159 5.4321 11.7833
Nd 0.0000 6.4343 8.8122
Nd 0.0000 0.0000 0.0000
Nd 1.8159 3.9498 6.8388
Sm 1.8159 2.4848 1.9436
Sm 0.0000 2.9635 9.8613
Sm 1.8159 7.4206 5.7897
Sm 0.0000 7.8993 13.7074
```

Values from the calculation:
- Relative energy among the computed polymorphs: 0 meV per atom
- Fermi-level density of states: 1.25 states/eV per atom
- Crystal system: monoclinic
- M_tot: 0.000 μB/atom
- E_form: 0.01 eV per atom
- Calculated total energy: -4.7022 eV per atom

---

# 8
# PuTlGeO6

PuTlGeO6 after structural relaxation (PBE-GGA, Alexandria).

Structure (extended XYZ):
```
9
Lattice="-2.5913 -3.8794 2.4225 1.8269 -1.9569 4.5238 -3.3938 4.2785 3.2215" Properties=species:S:1:pos:R:3 pbc="T T T"
Pu -2.2064 -1.7516 6.2415
Tl 1.8269 -1.9568 4.5238
Ge -1.9515 0.1939 3.9261
O -0.4805 0.6374 2.7384
O -3.2020 1.4348 3.1090
O -3.2263 -0.2508 5.3221
O -1.1792 1.6072 5.0110
O -0.9215 -1.2295 4.7533
O -2.6999 -1.0361 2.6228
```

Values from the calculation:
- Crystal system: trigonal
- Formation energy from raw total energies: -15.060 eV/f.u.
- M_tot: 0.111 μB/atom
- Calculated total energy: -7.3472 eV per atom

---

# 9
# Th2ZnSn3Ir4

Th2ZnSn3Ir4 after structural relaxation (PBE-GGA, Alexandria).

Structure (extended XYZ):
```
10
Lattice="-0.6346 3.0518 3.0037 -0.0018 -3.0367 3.0850 11.1438 1.1737 1.1620" Properties=species:S:1:pos:R:3 pbc="T T T"
Th 2.6085 1.8341 1.8069
Th 8.2171 -0.6528 2.3994
Zn 5.2537 0.5944 3.6253
Sn 5.5719 0.5868 0.5810
Sn 9.3633 2.5455 2.5113
Sn 1.4622 -1.3642 1.6950
Ir -0.3182 0.0076 3.0443
Ir 0.0000 0.0000 0.0000
Ir 6.8145 2.2770 2.2455
Ir 4.0110 -1.0958 1.9608
```

Values from the calculation:
- Fermi-level density of states: 0.76 states/eV per atom
- Crystal system: tetragonal
- M_tot: 0.000 μB/atom
- E_form: -0.52 eV per atom
- Calculated total energy: -6.8796 eV per atom

---

# 10
# Sc2CdAg6

Sc2CdAg6 after structural relaxation (PBE-GGA, Alexandria).

Structure (extended XYZ):
```
18
Lattice="-3.6415 -2.0044 -0.8457 0.7900 -4.6406 7.5967 -4.5149 6.3641 4.3571" Properties=species:S:1:pos:R:3 pbc="T T T"
Sc -3.4426 3.7304 5.9817
Sc -4.2528 -0.4596 8.7633
Sc -3.1136 0.1787 2.3449
Sc -3.9238 -4.0113 5.1264
Cd -1.4257 -3.3225 3.3755
Cd -2.2575 3.1820 2.1786
Ag -0.7310 0.9837 0.8161
Ag -5.4339 -1.8205 6.4364
Ag -6.9283 0.3114 7.8184
Ag -4.6632 2.4505 3.6327
Ag -6.1462 4.5155 5.1241
Ag -2.9312 -1.2470 4.9391
Ag -6.6353 -1.2646 10.2920
Ag -1.9325 1.5396 4.6717
Ag -0.4381 -0.5923 3.2897
Ag -2.7032 -2.7314 7.4754
Ag -1.2202 -4.7965 5.9840
Ag -4.4351 0.9661 6.1690
```

Values from the calculation:
- Fermi-level density of states: 0.58 states/eV per atom
- Crystal system: tetragonal
- M_tot: 0.000 μB/atom
- E_form: -0.19 eV per atom
- Calculated total energy: -3.5950 eV per atom

---

# 11
# RbV3Si

RbV3Si after structural relaxation (PBE-GGA, Alexandria).

Structure (extended XYZ):
```
5
Lattice="-4.2766 -0.0357 2.5779 2.5726 -0.3855 4.2625 0.1685 4.9786 0.3486" Properties=species:S:1:pos:R:3 pbc="T T T"
Si 0.0000 0.0000 0.0000
Rb -0.7677 2.2786 3.5945
V 1.2863 -0.1928 2.1313
V 0.0843 2.4893 0.1743
V -2.1383 -0.0179 1.2889
```

Values from the calculation:
- Relative energy among the computed polymorphs: 0 meV per atom
- Fermi-level density of states: 1.28 states/eV per atom
- Crystal system: cubic
- Formation energy from raw total energies: 5.581 eV/f.u.
- M_tot: 2.238 μB/atom
- Calculated total energy: -5.6330 eV per atom

---

# 12
# SrBeHg2C

SrBeHg2C after structural relaxation (PBE-GGA, Alexandria).

Structure (extended XYZ):
```
5
Lattice="-0.8435 -0.1600 -5.5066 -0.1847 -3.4475 0.1285 -5.5009 0.3257 0.8331" Properties=species:S:1:pos:R:3 pbc="T T T"
Sr -3.2645 -1.6409 -2.2725
C 0.0000 0.0000 0.0000
Hg -2.7504 0.1629 0.4166
Hg -0.4217 -0.0800 -2.7533
Be -0.0923 -1.7237 0.0642
```

Values from the calculation:
- Fermi-level density of states: 0.47 states/eV per atom
- Crystal system: tetragonal
- M_tot: 0.000 μB/atom
- E_form: 0.49 eV per atom
- Calculated total energy: -2.5574 eV per atom

---

# 13
# KBaGa2

KBaGa2 after structural relaxation (PBE-GGA, Alexandria).

Structure (extended XYZ):
```
8
Lattice="9.2588 0.0000 0.0000 0.0000 9.2588 0.0000 4.6294 4.6294 3.4388" Properties=species:S:1:pos:R:3 pbc="T T T"
K 4.6294 4.6294 0.0000
K 4.6294 9.2588 1.7194
Ba 0.0000 0.0000 0.0000
Ba 9.2588 4.6294 1.7194
Ga 6.9633 2.3147 0.8597
Ga 2.2955 6.9441 0.8597
Ga 6.9441 6.9249 2.5791
Ga 11.5735 11.5927 2.5791
```

Values from the calculation:
- Relative energy among the computed polymorphs: 249 meV per atom
- Fermi-level density of states: 1.11 states/eV per atom
- Crystal system: tetragonal
- M_tot: 0.000 μB/atom
- E_form: 0.20 eV per atom
- Calculated total energy: -2.0677 eV per atom